(1)
Material: Hf2AlCu
Method: DFT, PBE
State: optimized geometry

Computed properties:
As for the electronic total energy: -0.4859 Ry per atom. The space group is No. 216. For the size of the total moment, the calculation gives 1.6 μB per cell.

Cell: 4.697 4.697 4.697 Å, 60.00 60.00 60.00°
Sites, in units of the cell vectors:
Hf 0.000 0.000 0.000
Hf 0.250 0.250 0.250
Al 0.750 0.750 0.750
Cu 0.500 0.500 0.500


(2)
Material: YTmTlTe3
Method: DFT, PBE
State: optimized geometry

Computed properties:
As for the electronic total energy: -0.3497 Ry per atom. The space group is No. 63. For the size of the total moment, the calculation gives 0.5 μB per cell. For the offset from the most stable computed form, the calculation gives 67 meV/atom.

Cell: 7.977 7.977 11.987 Å, 90.00 90.00 147.95°
Sites, in units of the cell vectors:
Y 0.000 0.000 0.000
Y 0.000 0.000 0.500
Tm 0.435 0.565 0.750
Tm 0.565 0.435 0.250
Tl 0.252 0.748 0.250
Tl 0.748 0.252 0.750
Te 0.063 0.937 0.750
Te 0.357 0.643 0.529
Te 0.357 0.643 0.971
Te 0.643 0.357 0.029
Te 0.643 0.357 0.471
Te 0.937 0.063 0.250


(3)
Material: RbPrSmTe3
Method: DFT, PBE
State: optimized geometry

Computed properties:
As for the electronic total energy: -0.3329 Ry per atom. The space group is No. 63. For the size of the total moment, the calculation gives 0.3 μB per cell.

Cell: 8.655 8.655 11.716 Å, 90.00 90.00 146.21°
Sites, in units of the cell vectors:
Rb 0.245 0.755 0.750
Rb 0.755 0.245 0.250
Pr 0.489 0.511 0.250
Pr 0.511 0.489 0.750
Sm 0.000 0.000 0.000
Sm 0.000 0.000 0.500
Te 0.088 0.912 0.250
Te 0.380 0.620 0.040
Te 0.380 0.620 0.460
Te 0.620 0.380 0.540
Te 0.620 0.380 0.960
Te 0.912 0.088 0.750


(4)
Material: Zr8Tl2C3N3
Method: DFT, PBE
State: optimized geometry

Computed properties:
As for the electronic total energy: -0.6534 Ry per atom. The space group is No. 164. For the size of the total moment, the calculation gives 0.0 μB per cell.

Cell: 3.339 3.339 25.557 Å, 90.00 90.00 120.00°
Sites, in units of the cell vectors:
Zr 0.000 0.000 0.150
Zr 0.000 0.000 0.346
Zr 0.000 0.000 0.654
Zr 0.000 0.000 0.850
Zr 0.333 0.667 0.551
Zr 0.333 0.667 0.948
Zr 0.667 0.333 0.052
Zr 0.667 0.333 0.449
Tl 0.333 0.667 0.753
Tl 0.667 0.333 0.247
C 0.000 0.000 0.500
C 0.333 0.667 0.391
C 0.667 0.333 0.609
N 0.000 0.000 0.000
N 0.333 0.667 0.103
N 0.667 0.333 0.897


(5)
Material: AgBr
Method: DFT, PBE
State: optimized geometry

Computed properties:
As for the electronic total energy: -0.1832 Ry per atom. The space group is No. 139.

Cell: 7.005 7.005 7.005 Å, 146.93 146.93 47.47°
Sites, in units of the cell vectors:
Ag 0.129 0.129 0.000
Ag 0.871 0.871 0.000
Br 0.361 0.361 0.000
Br 0.639 0.639 0.000


(6)
Material: TbTmInNi2
Method: DFT, PBE
State: optimized geometry

Computed properties:
As for the electronic total energy: -0.3778 Ry per atom. The space group is No. 38. For the size of the total moment, the calculation gives 0.0 μB per cell.

Cell: 3.642 7.370 7.370 Å, 30.67 90.00 90.00°
Sites, in units of the cell vectors:
Tb 0.000 0.000 0.000
Tm 0.000 0.276 0.276
In 0.500 0.639 0.639
Ni 0.500 0.437 0.437
Ni 0.500 0.835 0.835


(7)
Material: NaFe4Te
Method: DFT, PBE
State: optimized geometry

Computed properties:
As for the electronic total energy: -0.3685 Ry per atom. The space group is No. 65. For the size of the total moment, the calculation gives 11.0 μB per cell.

Cell: 5.036 5.036 4.754 Å, 90.00 90.00 90.81°
Sites, in units of the cell vectors:
Na 0.000 0.000 0.000
Fe 0.154 0.846 0.500
Fe 0.345 0.345 0.000
Fe 0.655 0.655 0.000
Fe 0.846 0.154 0.500
Te 0.500 0.500 0.500


(8)
Material: ScNiBiMo
Method: DFT, PBE
State: optimized geometry

Computed properties:
As for the electronic total energy: -0.4766 Ry per atom. The space group is No. 216. For the size of the total moment, the calculation gives 0.0 μB per cell. For the offset from the most stable computed form, the calculation gives 0 meV/atom.

Cell: 4.656 4.656 4.656 Å, 60.00 60.00 60.00°
Sites, in units of the cell vectors:
Sc 0.000 0.000 0.000
Ni 0.750 0.750 0.750
Bi 0.500 0.500 0.500
Mo 0.250 0.250 0.250


(9)
Material: SrHfAsO
Method: DFT, PBE
State: optimized geometry

Computed properties:
As for the electronic total energy: -0.4942 Ry per atom. The space group is No. 129. For the size of the total moment, the calculation gives 0.4 μB per cell. For the offset from the most stable computed form, the calculation gives 342 meV/atom.

Cell: 4.498 4.498 9.254 Å, 90.00 90.00 90.00°
Sites, in units of the cell vectors:
Sr 0.250 0.250 0.097
Sr 0.750 0.750 0.903
Hf 0.250 0.750 0.500
Hf 0.750 0.250 0.500
As 0.250 0.250 0.653
As 0.750 0.750 0.347
O 0.250 0.750 0.000
O 0.750 0.250 0.000


(10)
Material: LiErCd2Au4
Method: DFT, PBE
State: optimized geometry

Computed properties:
As for the electronic total energy: -0.2344 Ry per atom. The space group is No. 123. For the size of the total moment, the calculation gives 0.0 μB per cell.

Cell: 4.820 4.820 6.711 Å, 90.00 90.00 90.00°
Sites, in units of the cell vectors:
Li 0.000 0.000 0.000
Er 0.500 0.500 0.500
Cd 0.000 0.000 0.500
Cd 0.500 0.500 0.000
Au 0.000 0.500 0.235
Au 0.000 0.500 0.765
Au 0.500 0.000 0.235
Au 0.500 0.000 0.765


(11)
Material: CsIrPb
Method: DFT, PBE
State: optimized geometry

Computed properties:
As for the electronic total energy: -0.2724 Ry per atom. The space group is No. 216. For the size of the total moment, the calculation gives 0.0 μB per cell.

Cell: 5.102 5.102 5.102 Å, 60.00 60.00 60.00°
Sites, in units of the cell vectors:
Cs 0.000 0.000 0.000
Ir 0.250 0.250 0.250
Pb 0.500 0.500 0.500


(12)
Material: La2Er
Method: DFT, PBE
State: optimized geometry

Computed properties:
For the formation energy from the elements, the calculation gives 0.6285 eV/atom. As for the electronic total energy: -0.3068 Ry per atom. The space group is No. 225. For the size of the total moment, the calculation gives 0.0 μB per cell. For the offset from the most stable computed form, the calculation gives 380 meV/atom.

Cell: 5.566 5.566 5.566 Å, 60.00 60.00 60.00°
Sites, in units of the cell vectors:
La 0.250 0.250 0.250
La 0.750 0.750 0.750
Er 0.000 0.000 0.000